Record 1
LiBi2As2Pb2O10 PBE relaxed; formation energy (no corrections) = -1.226 eV/atom; DOS(E_F) = 3.87 states/eV per cell; SG = P-1 (2)
1.0
-1.852 -6.281 -1.336
2.213 -4.048 4.574
-5.411 -2.716 5.904
O Pb Li As Bi
10 2 1 2 2
Direct
0.533 0.395 0.239
0.663 0.145 0.584
0.467 0.605 0.761
0.709 0.100 0.937
0.337 0.855 0.416
0.881 0.976 0.289
0.066 0.592 0.716
0.119 0.024 0.711
0.934 0.408 0.284
0.291 0.900 0.063
0.646 0.770 0.904
0.354 0.230 0.096
0.000 0.000 0.000
0.240 0.772 0.658
0.760 0.228 0.342
0.807 0.343 0.660
0.193 0.657 0.340

=====

Record 2
CeZnCrH6 PBE relaxed; DOS(E_F) = 7.21 states/eV per cell; SG = P-6m2 (187)
1.0
-3.843 2.304 -0.193
-1.777 1.069 -3.977
-2.316 -3.863 -0.004
H Zn Cr Ce
6 1 1 1
Direct
0.487 0.487 0.771
0.487 0.025 0.229
0.487 0.487 0.229
0.487 0.025 0.771
0.025 0.487 0.229
0.025 0.487 0.771
0.667 0.667 0.500
0.333 0.333 0.500
0.000 0.000 0.000

=====

Record 3
CaMnNi2 PBE relaxed; DOS(E_F) = 3.14 states/eV per cell; SG = R-3m (166); energy of formation from the pure elements = -22.1 meV per atom
1.0
5.258 -1.223 -0.718
4.617 2.797 -0.718
4.617 0.736 2.792
Ni Mn Ca
2 1 1
Direct
0.445 0.445 0.445
0.055 0.055 0.055
0.750 0.750 0.750
0.250 0.250 0.250

=====

Record 4
Fe2NiAs PBE relaxed; DOS(E_F) = 3.68 states/eV per cell; SG = Pm (6); energy of formation from the pure elements = 20.1 meV per atom
1.0
-3.686 -0.836 0.646
0.543 -2.626 -0.298
1.121 -1.378 4.610
Fe As Ni
2 1 1
Direct
0.000 0.984 0.984
0.500 0.268 0.265
0.500 0.581 0.761
0.000 0.668 0.490

=====

Record 5
NaMn2Br5 PBE relaxed; formation energy (no corrections) = -0.843 eV/atom; SG = Cm (8)
1.0
-1.874 -6.767 0.381
7.010 -1.892 0.876
1.932 -4.081 6.248
Br Na Mn
5 1 2
Direct
0.284 0.722 0.033
0.652 0.616 0.272
0.872 0.171 0.657
0.652 0.112 0.272
0.284 0.244 0.033
0.041 0.021 0.958
0.508 0.959 0.083
0.930 0.377 0.246

=====

Record 6
Zn5Hg12Ge3 PBE relaxed; DOS(E_F) = 40.90 states/eV per cell; SG = Ia-3d (230); energy of formation from the pure elements = 231.7 meV per atom
1.0
14.064 0.000 0.000
-4.688 13.260 0.000
-4.688 -6.630 11.483
Hg Ge Zn
48 12 20
Direct
0.396 0.126 0.571
0.945 0.571 0.174
0.929 0.104 0.874
0.071 0.174 0.445
0.874 0.604 0.929
0.271 0.874 0.945
0.896 0.826 0.771
0.571 0.945 0.674
0.374 0.945 0.771
0.174 0.071 0.945
0.126 0.396 0.071
0.826 0.896 0.271
0.896 0.071 0.626
0.674 0.229 0.604
0.326 0.771 0.396
0.945 0.374 0.271
0.429 0.055 0.326
0.555 0.326 0.929
0.604 0.874 0.429
0.055 0.626 0.729
0.604 0.729 0.674
0.929 0.826 0.555
0.571 0.626 0.396
0.071 0.896 0.126
0.326 0.555 0.429
0.729 0.126 0.055
0.445 0.771 0.874
0.674 0.445 0.571
0.445 0.674 0.071
0.429 0.374 0.604
0.271 0.396 0.826
0.104 0.174 0.229
0.229 0.674 0.104
0.729 0.604 0.174
0.826 0.929 0.055
0.874 0.271 0.445
0.174 0.104 0.729
0.396 0.271 0.326
0.229 0.555 0.626
0.626 0.571 0.896
0.771 0.326 0.896
0.055 0.429 0.826
0.374 0.429 0.104
0.104 0.929 0.374
0.126 0.729 0.555
0.626 0.055 0.229
0.555 0.229 0.126
0.771 0.445 0.374
0.375 0.750 0.625
0.625 0.375 0.750
0.250 0.625 0.875
0.125 0.250 0.875
0.875 0.750 0.125
0.625 0.250 0.375
0.375 0.625 0.250
0.875 0.125 0.250
0.250 0.125 0.375
0.750 0.375 0.125
0.750 0.875 0.625
0.125 0.875 0.750
0.250 0.375 0.625
0.000 0.000 0.500
0.750 0.125 0.875
0.625 0.875 0.250
0.375 0.125 0.750
0.875 0.250 0.625
0.125 0.375 0.250
0.500 0.500 0.000
0.750 0.625 0.375
0.500 0.000 0.000
0.375 0.250 0.125
0.000 0.500 0.500
0.500 0.000 0.500
0.000 0.500 0.000
0.000 0.000 0.000
0.625 0.750 0.875
0.500 0.500 0.500
0.125 0.750 0.375
0.875 0.625 0.750
0.250 0.875 0.125

=====

Record 7
CaSbO2F PBE relaxed; formation energy (no corrections) = -1.775 eV/atom; DOS(E_F) = 0.31 states/eV per cell; SG = P4/mmm (123)
1.0
4.366 0.000 0.000
0.000 4.366 0.000
0.000 0.000 4.410
O Sb F Ca
2 1 1 1
Direct
0.500 0.000 0.000
0.000 0.500 0.000
0.000 0.000 0.000
0.000 0.000 0.500
0.500 0.500 0.500

=====

Record 8
TbCeAg4 PBE relaxed; DOS(E_F) = 9.23 states/eV per cell; SG = C2/m (12); energy of formation from the pure elements = -185.8 meV per atom
1.0
-0.210 -1.570 -3.323
4.799 0.400 -2.532
-0.192 -7.601 1.565
Ag Tb Ce
4 1 1
Direct
0.845 0.483 0.827
0.155 0.517 0.173
0.330 0.997 0.344
0.670 0.003 0.656
0.500 0.500 0.500
0.000 0.000 0.000

=====

Record 9
Al2TlVCd PBE relaxed; DOS(E_F) = 3.48 states/eV per cell; SG = P4/mmm (123); energy of formation from the pure elements = 610.6 meV per atom
1.0
5.000 0.000 0.000
0.000 5.341 0.000
0.000 0.000 5.000
Al Tl V Cd
2 1 1 1
Direct
0.500 0.000 0.000
0.000 0.000 0.500
0.500 0.500 0.500
0.000 0.000 0.000
0.000 0.500 0.000

=====

Record 10
Zr3P PBE relaxed; DOS(E_F) = 3.55 states/eV per cell; SG = P4/mmm (123); energy of formation from the pure elements = -572.7 meV per atom
1.0
3.515 0.000 0.000
0.000 3.515 0.000
0.000 0.000 6.398
Zr P
3 1
Direct
0.500 0.500 0.784
0.500 0.500 0.216
0.000 0.000 0.500
0.000 0.000 0.000

=====

Record 11
LiYScTe3 PBE relaxed; formation energy (no corrections) = -1.176 eV/atom; DOS(E_F) = 6.80 states/eV per cell; SG = P2_1/m (11)
1.0
-3.072 -1.914 -2.059
4.822 -0.158 -7.047
2.035 -8.032 4.429
Y Li Te Sc
2 2 6 2
Direct
0.250 0.190 0.238
0.750 0.810 0.762
0.750 0.912 0.411
0.250 0.088 0.589
0.750 0.248 0.503
0.250 0.573 0.838
0.750 0.427 0.162
0.250 0.095 0.878
0.250 0.752 0.497
0.750 0.905 0.122
0.250 0.667 0.163
0.750 0.333 0.837

=====

Record 12
AgIr5 PBE relaxed; DOS(E_F) = 13.29 states/eV per cell; SG = F-43m (216); energy of formation from the pure elements = 714.7 meV per atom
1.0
0.000 3.651 3.651
3.651 0.000 3.651
3.651 3.651 0.000
Ir Ag
5 1
Direct
0.375 0.375 0.875
0.375 0.875 0.375
0.375 0.375 0.375
0.875 0.375 0.375
0.750 0.750 0.750
0.000 0.000 0.000

=====

Short version: calculated density = 6.4 5.6 5.0 8.2 3.0 9.2 4.2 8.9 5.2 6.4 5.4 18.2 g/cm³, in the order given.
Short version: magnetic moment = 0.00 1.13 3.48 5.21 10.00 0.00 0.00 1.05 3.26 0.00 0.01 0.25 μB per cell, in the order given.
Short version: final energy = -5.70 -4.30 -5.71 -6.82 -4.35 -0.96 -5.36 -3.85 -3.37 -8.34 -5.20 -7.14 eV per atom, in the order given.